1.
# TaAgHg2

Crystalline TaAgHg2 at its relaxed geometry (GGA-PBE, Alexandria).

a = 6.375 Å, b = 8.670 Å, c = 2.859 Å
α = 90.00°, β = 90.00°, γ = 90.00°
Space group Cmmm (No. 65)
Unique sites:
1 Ta 0.000 0.000 0.000 x2
2 Ag 0.000 0.500 0.000 x2
3 Hg 0.250 0.250 0.500 x4

Values from the calculation:
For the formation energy, the calculation gives 143 kJ/mol of formula units. As for the total magnetic moment: 0.000 μB per atom. As for the uncorrected energy: -3.457 eV/atom.

---

2.
# CsLaO2

Crystalline CsLaO2 at its relaxed geometry (GGA-PBE, Alexandria).

a = 13.435 Å, b = 4.442 Å, c = 6.865 Å
α = 90.00°, β = 113.24°, γ = 90.00°
Space group C2/m (No. 12)
Unique sites:
1 Cs 0.117 0.000 0.353 x4
2 La 0.128 0.500 0.856 x4
3 O 0.000 0.500 0.000 x2
4 O 0.000 0.500 0.500 x2
5 O 0.193 0.000 0.840 x4

Values from the calculation:
As for the total magnetic moment: 0.000 μB per atom. The calculation puts the formation energy from raw total energies at -990 kJ/mol of formula units. As for the uncorrected energy: -6.491 eV/atom.